CrCu2As | GGA-PBE | optimized geometry

Geometry as extended XYZ:
```
4
Lattice="-4.254 -1.836 0.223 -2.356 -3.510 1.909 -2.121 1.334 3.710" Properties=species:S:1:pos:R:3 pbc="T T T"
Cu -6.738 -2.969 4.635
Cu -2.062 1.208 3.520
Cr -2.241 -0.838 1.690
As -4.176 -2.085 2.629
```

## Properties
The value obtained for the formation energy is 203 meV per atom.